VASP calculation (PBE with a Hubbard U) on CoIN2F after structural relaxation.

Output
For the mass density, the calculation gives 6.49 g cm⁻³. The volume is 59.6 Å³/cell. The value obtained for the relative energy among the computed polymorphs is 0.000 eV per atom.

Cell lengths 3.885, 3.885, 3.947 Å; angles 90.00, 90.00, 90.00 degrees
Space group P4/mmm (No. 123)
Unique sites:
Co 0.000 0.000 0.000 x1
I 0.500 0.500 0.500 x1
N 0.000 0.500 0.000 x2
F 0.000 0.000 0.500 x1